VASP calculation (PBE-GGA) on a geometry-optimized CeThRu structure.

Cell: 5.8828 5.8828 5.8828 Å, 144.24 144.24 51.48°
Closest atoms and distances in Å follow each position.
Fractional coordinates of all 3 atoms:
Ce: 0.0000 0.0000 0.0000  4 Ru 3.05, 5 Th 3.26-3.27
Th: 0.3083 0.3083 0.0000  4 Ru 3.02, 5 Ce 3.26-3.27
Ru: 0.6564 0.6564 0.0000  4 Th 3.02, 4 Ce 3.05

Computed properties:
Density, g cm⁻³: 11.36
Symmetry: No. 107
Magnetization, μB/f.u.: 0.000
Distance to the lowest polymorph of the same formula, eV/atom: 0.102
Energy relative to the elements, eV/atom: -0.246